DFT (PBE) results for AsP2Ir after structural relaxation.

```
data_AsP2Ir
_chemical_formula_sum 'As4 P8 Ir4'
_cell_length_a 6.231
_cell_length_b 6.231
_cell_length_c 6.231
_cell_angle_alpha 90.00
_cell_angle_beta 90.00
_cell_angle_gamma 90.00
_space_group_name_H-M_alt 'F -4 3 m'
_space_group_IT_number 216
_space_group_name_Hall 'F -4 2 3'
loop_
_atom_site_label
_atom_site_fract_x
_atom_site_fract_y
_atom_site_fract_z
As1 0.000 0.000 0.000
P1 0.000 0.000 0.500
P2 0.250 0.250 0.750
Ir1 0.250 0.250 0.250
```

Values from the calculation:
Uncorrected energy (eV per atom): -5.5806
Magnetic moment (Bohr magnetons per cell): 0.0
Calculated density (g cm⁻³): 9.03
Formation enthalpy at 0 K (eV per atom): 0.502